1.
Computed, not measured: a relaxed La2Ag crystal at the PBE level of DFT.

It has space group Pnnm (No. 58), with a = 7.1200 Å, b = 7.9198 Å, c = 3.5453 Å, α = 90.00°, β = 90.00° and γ = 90.00°. The distinct sites, in fractional coordinates, are La at (0.1701, 0.1478, 0.0000) and Ag at (0.0000, 0.5000, 0.0000).

The value obtained for the formation energy is 8 kJ/mol of atoms.

2.
Computed, not measured: a relaxed RbFeCo3 crystal at the PBE level of DFT.

It has space group Pm-3m (No. 221), with a = 4.4477 Å, b = 4.4477 Å, c = 4.4477 Å, α = 90.00°, β = 90.00° and γ = 90.00°. The distinct sites, in fractional coordinates, are Rb at (0.0000, 0.0000, 0.0000), Fe at (0.5000, 0.5000, 0.5000) and Co at (0.0000, 0.0000, 0.5000).

The value obtained for the formation energy is 295 kJ/mol of atoms. The value obtained for the energy above the most stable polymorph in this dataset is 1.819 eV/atom.

3.
Computed, not measured: a relaxed HfAg2OsSe crystal at the PBE level of DFT.

It has space group P4/mmm (No. 123), with a = 5.2839 Å, b = 5.2839 Å, c = 4.8953 Å, α = 90.00°, β = 90.00° and γ = 90.00°. The distinct sites, in fractional coordinates, are Hf at (0.0000, 0.0000, 0.0000), Ag at (0.0000, 0.5000, 0.0000), Os at (0.5000, 0.5000, 0.5000) and Se at (0.0000, 0.0000, 0.5000).

The calculation puts the energy relative to the elements, uncorrected at 1629 meV/atom.

Number 1: mass density 6.41 Mg/m³. Number 2: mass density 6.00 Mg/m³. Number 3: mass density 8.06 Mg/m³.